1.
## Y3ScB (GGA-PBE)

Data for crystalline Y3ScB at its relaxed geometry.

a = 5.345 Å, b = 5.345 Å, c = 5.345 Å
α = 90.00°, β = 90.00°, γ = 90.00°
Space group Pm-3m (No. 221)
Inequivalent atoms, fractional coordinates:
Y  0.000  0.000  0.500 x3
Sc  0.000  0.000  0.000 x1
B  0.500  0.500  0.500 x1

DOS at the Fermi energy (states/eV per atom): 1.070

2.
## Y2Sc2B (GGA-PBE)

Data for crystalline Y2Sc2B at its relaxed geometry.

a = 6.763 Å, b = 6.763 Å, c = 5.201 Å
α = 90.00°, β = 90.00°, γ = 90.00°
Space group P4/mbm (No. 127)
Inequivalent atoms, fractional coordinates:
Y  0.162  0.338  0.000 x4
Sc  0.162  0.662  0.500 x4
B  0.000  0.000  0.500 x2

DOS at the Fermi energy (states/eV per atom): 0.868

3.
## YScB2 (GGA-PBE)

Data for crystalline YScB2 at its relaxed geometry.

a = 6.207 Å, b = 6.207 Å, c = 6.207 Å
α = 90.00°, β = 90.00°, γ = 90.00°
Space group Fm-3m (No. 225)
Inequivalent atoms, fractional coordinates:
Y  0.000  0.000  0.000 x4
Sc  0.000  0.000  0.500 x4
B  0.250  0.250  0.250 x8

DOS at the Fermi energy (states/eV per atom): 0.280

4.
## Y2Sc2B (GGA-PBE)

Data for crystalline Y2Sc2B at its relaxed geometry.

a = 3.914 Å, b = 3.914 Å, c = 16.455 Å
α = 90.00°, β = 90.00°, γ = 90.00°
Space group I4/mmm (No. 139)
Inequivalent atoms, fractional coordinates:
Y  0.000  0.500  0.250 x4
Sc  0.000  0.000  0.076 x4
B  0.000  0.000  0.500 x2

DOS at the Fermi energy (states/eV per atom): 1.225

5.
## Y3ScB (GGA-PBE)

Data for crystalline Y3ScB at its relaxed geometry.

a = 5.130 Å, b = 5.130 Å, c = 5.130 Å
α = 90.00°, β = 90.00°, γ = 90.00°
Space group Pm-3m (No. 221)
Inequivalent atoms, fractional coordinates:
Y  0.000  0.000  0.500 x3
Sc  0.500  0.500  0.500 x1
B  0.000  0.000  0.000 x1

DOS at the Fermi energy (states/eV per atom): 1.809

6.
## YScB2 (GGA-PBE)

Data for crystalline YScB2 at its relaxed geometry.

a = 6.560 Å, b = 6.560 Å, c = 6.533 Å
α = 90.00°, β = 90.00°, γ = 90.00°
Space group I-42d (No. 122)
Inequivalent atoms, fractional coordinates:
Y  0.000  0.000  0.000 x4
Sc  0.000  0.000  0.500 x4
B  0.231  0.250  0.625 x8

DOS at the Fermi energy (states/eV per atom): 0.923

no.,energy (eV per atom),excess energy over the best structure of this formula in the dataset (eV/atom)
1,-4.922,1.477
2,-6.168,0.000
3,-6.372,0.000
4,-5.319,0.849
5,-6.399,0.000
6,-6.087,0.286